An optimized crystal structure of Ho3Si2Ge2. Source: Alexandria, functional GGA-PBE.

The structure in POSCAR format:
```
Ho3Si2Ge2
1.0
5.2965 -2.0493 0.0000
5.2965 2.0493 0.0000
-3.0581 0.0000 6.7541
Ho Si Ge
3 2 2
Cartesian
0.0000 0.0000 0.0000
-0.0348 0.0000 4.3359
7.5697 0.0000 2.4182
3.0212 0.0000 0.5042
4.5137 0.0000 6.2498
2.8665 0.0000 4.4436
4.6684 0.0000 2.3105
```

## Properties
Calculated total energy = -38.95 eV per cell
Space-group type = C2/m (12)
Formation energy from raw total energies = -0.733 eV per atom